The following is a DFT calculation (PBE) of an optimized crystal structure of Ca3AlGa3.

```
14
Lattice="4.4325 0.0000 0.6677 2.1909 5.5616 0.5025 0.1571 -0.0342 14.0039" Properties=species:S:1:pos:R:3 pbc="T T T"
Ca 3.1474 1.7953 9.1989
Ca 3.6330 3.7321 5.9752
Ca 1.7431 1.4444 3.4748
Ca 5.0373 4.0831 11.6993
Ca 2.5257 1.5865 13.3262
Ca 4.2547 3.9409 1.8478
Al 3.6071 0.4310 6.1474
Al 3.1733 5.0965 9.0267
Ga 5.5171 3.9765 8.5143
Ga 1.2633 1.5509 6.6598
Ga 2.5075 4.8003 13.4468
Ga 4.2729 0.7272 1.7273
Ga 6.1497 4.7161 4.3143
Ga 0.6307 0.8113 10.8598
```

Summary:
E_form = -0.455 eV/atom
Volume = 24.619 A^3/atom
Total magnetic moment = 0.00 μB per cell
Symmetry = No. 12
DOS at the Fermi energy = 6.92 states/eV/cell